ZnRh2Pb: optimized geometry, PBE.

CIF file:
```
data_ZnRh2Pb
_chemical_formula_sum 'Zn3 Rh6 Pb3'
_space_group_name_H-M_alt 'R -3 m'
_space_group_IT_number 166
_space_group_name_Hall '-R 3 2"'
_cell_length_a 3.2217
_cell_length_b 3.2217
_cell_length_c 23.2944
_cell_angle_alpha 90.00
_cell_angle_beta 90.00
_cell_angle_gamma 120.00
loop_
_atom_site_label
_atom_site_type_symbol
_atom_site_fract_x
_atom_site_fract_y
_atom_site_fract_z
Zn1 Zn 0.0000 0.0000 0.0000
Rh1 Rh 0.0000 0.0000 0.2566
Pb1 Pb 0.0000 0.0000 0.5000
```

Its density of states at the Fermi level is 13.06 states/eV/cell.

Pm3Pr6Ho: optimized geometry, PBE.

CIF file:
```
data_Pm3Pr6Ho
_chemical_formula_sum 'Pm12 Pr24 Ho4'
_space_group_name_H-M_alt 'C m c 21'
_space_group_IT_number 36
_space_group_name_Hall 'C 2c -2'
_cell_length_a 11.062
_cell_length_b 19.500
_cell_length_c 6.555
_cell_angle_alpha 90.00
_cell_angle_beta 90.00
_cell_angle_gamma 90.00
loop_
_atom_site_label
_atom_site_type_symbol
_atom_site_fract_x
_atom_site_fract_y
_atom_site_fract_z
Pm1 Pm 0.000 0.116 0.000
Pm2 Pm 0.174 0.383 0.620
Pr1 Pr 0.000 0.221 0.429
Pr2 Pr 0.000 0.466 0.220
Pr3 Pr 0.170 0.041 0.525
Pr4 Pr 0.232 0.209 0.716
Ho1 Ho 0.000 0.309 0.970
```

Its density of states at the Fermi level is 52.37 states/eV/cell.

| no. | formation energy from the elements (meV per atom) |
| --- | --- |
| 1 | 39 |
| 2 | 132 |